*P*
DFT (PBE) results for NpAgBr6 after structural relaxation.

a b c (Å): 7.5516 7.5516 7.5516
angles (deg): 55.38 55.38 55.38
Last column: nearest neighbours and their distance in Å.
Fractional coordinates of all 8 atoms:
Np: 0.0000 0.0000 0.0000  6 Br 2.70
Ag: 0.5000 0.5000 0.5000  6 Br 2.87
Br: 0.0904 0.7626 0.3918  1 Np 2.70, 1 Ag 2.87
Br: 0.2374 0.6082 0.9096  1 Np 2.70, 1 Ag 2.87
Br: 0.3918 0.0904 0.7626  1 Np 2.70, 1 Ag 2.87
Br: 0.6082 0.9096 0.2374  1 Np 2.70, 1 Ag 2.87
Br: 0.7626 0.3918 0.0904  1 Np 2.70, 1 Ag 2.87
Br: 0.9096 0.2374 0.6082  1 Np 2.70, 1 Ag 2.87

Results
Magnetization   2.0 Bohr magnetons per cell
Symmetry   No. 148

***

*Q*
DFT (PBE) results for NpAgBr6 after structural relaxation.

a b c (Å): 7.3610 7.3610 7.0470
angles (deg): 101.24 101.24 122.64
Last column: nearest neighbours and their distance in Å.
Fractional coordinates of all 8 atoms:
Np: 0.0000 0.0000 0.0000  6 Br 2.66-2.73
Ag: 0.5000 0.5000 0.5000  4 Br 2.77
Br: 0.0933 0.3983 0.2470  1 Np 2.73, 1 Ag 2.77
Br: 0.2254 0.2254 0.7757  1 Np 2.66
Br: 0.3983 0.0933 0.2470  1 Np 2.73, 1 Ag 2.77
Br: 0.6017 0.9067 0.7530  1 Np 2.73, 1 Ag 2.77
Br: 0.7746 0.7746 0.2243  1 Np 2.66
Br: 0.9067 0.6017 0.7530  1 Np 2.73, 1 Ag 2.77

Results
Magnetization   2.0 Bohr magnetons per cell
Symmetry   No. 12

***

Of them, *P* has the lowest stability.

***

*P*
DFT (PBE) results for AgP2BrO after structural relaxation.

a b c (Å): 5.0821 5.0821 3.6321
angles (deg): 90.00 90.00 90.00
Last column: nearest neighbours and their distance in Å.
Fractional coordinates of all 5 atoms:
Ag: 0.0000 0.0000 0.0000  8 P 3.12
P: 0.0000 0.5000 0.5000  2 Br 2.54
P: 0.5000 0.0000 0.5000  2 Br 2.54
Br: 0.5000 0.5000 0.5000  2 O 1.82
O: 0.5000 0.5000 0.0000  2 Br 1.82

Results
Magnetization   0.0 Bohr magnetons per cell
Symmetry   No. 123

***

*Q*
DFT (PBE) results for AgP2BrO after structural relaxation.

a b c (Å): 4.9235 4.9235 4.0432
angles (deg): 90.00 90.00 90.00
Last column: nearest neighbours and their distance in Å.
Fractional coordinates of all 5 atoms:
Ag: 0.0000 0.0000 0.0000  2 O 2.02
P: 0.0000 0.5000 0.0000  2 Ag 2.46
P: 0.5000 0.0000 0.0000  2 Ag 2.46
Br: 0.5000 0.5000 0.5000  8 P 3.19, 4 O 3.48
O: 0.0000 0.0000 0.5000  2 Ag 2.02

Results
Magnetization   0.3 Bohr magnetons per cell
Symmetry   No. 123

***

Of them, *P* has the lowest stability.